6
Lattice="0.0000 4.1952 4.1952 4.1952 0.0000 4.1952 4.1952 4.1952 0.0000" Properties=species:S:1:pos:R:3 comment="KZr4Se, single point on PBEsol structure, DFT SCAN" formation_energy_uncorrected_ev_per_atom=0.736 total_magnetization_mub_per_atom=0.0002 space_group=F-43m pbc="T T T"
K 0.0000 0.0000 0.0000
Zr 5.2657 3.1246 3.1246
Zr 3.1246 5.2657 3.1246
Zr 3.1246 3.1246 5.2657
Zr 5.2657 5.2657 5.2657
Se 2.0976 2.0976 2.0976